VASP calculation (GGA-PBE) on an optimized crystal structure of NdPaP2.

Cell lengths 7.3320, 7.3320, 7.3320 Å; angles 31.62, 31.62, 31.62 degrees
With the nearest neighbours (Å) after each atom.
Fractional coordinates of all 4 atoms:
1 Nd 0.0000 0.0000 0.0000  6 P 2.89-3.06
2 Pa 0.1769 0.1769 0.1769  6 P 2.77-2.85
3 P 0.5836 0.5836 0.5836  3 Pa 2.77, 3 Nd 2.89
4 P 0.7633 0.7633 0.7633  3 Pa 2.85, 3 Nd 3.06

Values from the calculation:
volume = 96.2 Å³/cell
calculated formation energy = -1.2820 eV per atom
E above lowest polymorph = 148 meV/atom